Below is YVN2F after structural relaxation, with properties calculated at the PBE+U level.

POSCAR file:
```
YVN2F
1.0
-1.016 -4.215 -0.974
3.577 -1.381 2.245
-2.297 -0.256 3.503
Y N F V
1 2 1 1
direct
0.000 0.000 0.000
0.000 0.500 0.000
0.500 0.000 0.000
0.000 0.000 0.500
0.500 0.500 0.500
```

Symmetry   No. 123
Total energy   -6.26 eV per atom